Entry 1:
Material: Rb3Ho3TiSe8
Method: DFT, GGA-PBE
State: optimized geometry

The space group is R-3m (No. 166, hexagonal axes) and the conventional cell measures 8.1650, 8.1650 and 24.5122 Å, with angles of 90.00, 90.00 and 120.00 degrees. Symmetry generates all atoms from Rb at (0.0000, 0.5000, 0.0000), Ho at (0.0000, 0.5000, 0.5000), Ti at (0.0000, 0.0000, 0.5000), Se at (0.0000, 0.0000, 0.2319) and Se at (0.0243, 0.5121, 0.2278).

For the magnetic moment, the calculation gives 0.0 μB per formula unit. The volume comes out at 31.4 A^3/atom. Its uncorrected formation energy is -1.5839 eV per atom.



Entry 2:
Material: Sm12Tm6Mg
Method: DFT, GGA-PBE
State: optimized geometry

The space group is R-3 (No. 148, hexagonal axes) and the conventional cell measures 11.9691, 11.9691 and 15.0878 Å, with angles of 90.00, 90.00 and 120.00 degrees. Symmetry generates all atoms from Sm at (0.0055, 0.1774, 0.3125), Sm at (0.0461, 0.8474, 0.9154), Tm at (0.0213, 0.4306, 0.1907) and Mg at (0.0000, 0.0000, 0.5000).

For the magnetic moment, the calculation gives 0.0 μB per formula unit. As for the formation enthalpy at 0 K: 0.128 eV/atom. The volume comes out at 32.8 A^3/atom.



Entry 3:
Material: DyYTm
Method: DFT, GGA-PBE
State: optimized geometry

The space group is I4mm (No. 107) and the conventional cell measures 3.529, 3.529 and 15.042 Å, with angles of 90.00, 90.00 and 90.00 degrees. Symmetry generates all atoms from Dy at (0.000, 0.000, 0.000), Y at (0.000, 0.000, 0.669) and Tm at (0.000, 0.000, 0.336).

For the magnetic moment, the calculation gives 0.0 μB per formula unit. As for the formation enthalpy at 0 K: 0.026 eV/atom. The volume comes out at 31.2 A^3/atom.



Entry 4:
Material: NpPd6Pt
Method: DFT, GGA-PBE
State: optimized geometry

The space group is P4/mmm (No. 123) and the conventional cell measures 5.687, 5.687 and 4.071 Å, with angles of 90.00, 90.00 and 90.00 degrees. Symmetry generates all atoms from Np at (0.000, 0.000, 0.000), Pd at (0.000, 0.500, 0.000), Pd at (0.251, 0.251, 0.500) and Pt at (0.500, 0.500, 0.000).

For the magnetic moment, the calculation gives 2.4 μB per formula unit. As for the formation enthalpy at 0 K: -0.267 eV/atom. The volume comes out at 16.5 A^3/atom.



Entry 5:
Material: Tb6PmNd3Ho2
Method: DFT, GGA-PBE
State: optimized geometry

The space group is C2/m (No. 12) and the conventional cell measures 6.226, 10.780 and 11.896 Å, with angles of 90.00, 100.02 and 90.00 degrees. Symmetry generates all atoms from Tb at (0.249, 0.000, 0.247), Tb at (0.250, 0.167, 0.753), Pm at (0.000, 0.500, 0.000), Nd at (0.000, 0.000, 0.500), Nd at (0.000, 0.333, 0.500) and Ho at (0.000, 0.167, 0.000).

For the magnetic moment, the calculation gives 0.0 μB per formula unit. As for the formation enthalpy at 0 K: 0.015 eV/atom. The volume comes out at 32.8 A^3/atom.



Entry 6:
Material: SbPI2F
Method: DFT, GGA-PBE
State: optimized geometry

The space group is P4/mmm (No. 123) and the conventional cell measures 5.826, 5.826 and 4.199 Å, with angles of 90.00, 90.00 and 90.00 degrees. Symmetry generates all atoms from Sb at (0.000, 0.000, 0.000), P at (0.500, 0.500, 0.000), I at (0.000, 0.500, 0.500) and F at (0.000, 0.000, 0.500).

For the magnetic moment, the calculation gives 0.8 μB per formula unit. The volume comes out at 28.5 A^3/atom. Its uncorrected formation energy is 0.3371 eV per atom.



Entry 7:
Material: RbNaTc2
Method: DFT, GGA-PBE
State: optimized geometry

The space group is I-42d (No. 122) and the conventional cell measures 9.092, 9.092 and 4.949 Å, with angles of 90.00, 90.00 and 90.00 degrees. Symmetry generates all atoms from Rb at (0.000, 0.000, 0.000), Na at (0.000, 0.000, 0.500) and Tc at (0.233, 0.250, 0.625).

For the magnetic moment, the calculation gives 2.9 μB per formula unit. As for the formation enthalpy at 0 K: 1.857 eV/atom. The volume comes out at 25.6 A^3/atom.



Entry 8:
Material: Ac2La3Tm4
Method: DFT, GGA-PBE
State: optimized geometry

The space group is Immm (No. 71) and the conventional cell measures 3.631, 10.690 and 16.709 Å, with angles of 90.00, 90.00 and 90.00 degrees. Symmetry generates all atoms from Ac at (0.000, 0.184, 0.000), La at (0.000, 0.000, 0.500), La at (0.000, 0.500, 0.330) and Tm at (0.000, 0.168, 0.320).

For the magnetic moment, the calculation gives 0.0 μB per formula unit. As for the formation enthalpy at 0 K: 0.112 eV/atom. The volume comes out at 36.0 A^3/atom.



Entry 9:
Material: Cd2SbPd2
Method: DFT, GGA-PBE
State: optimized geometry

The space group is P4/mbm (No. 127) and the conventional cell measures 8.071, 8.071 and 3.048 Å, with angles of 90.00, 90.00 and 90.00 degrees. Symmetry generates all atoms from Cd at (0.130, 0.370, 0.000), Sb at (0.000, 0.000, 0.000) and Pd at (0.166, 0.666, 0.500).

For the magnetic moment, the calculation gives 0.0 μB per formula unit. The volume comes out at 19.9 A^3/atom. Its uncorrected formation energy is -0.1846 eV per atom.



Entry 10:
Material: Mg3Ga3Ir2
Method: DFT, GGA-PBE
State: optimized geometry

The space group is Pnma (No. 62) and the conventional cell measures 7.648, 14.456 and 5.294 Å, with angles of 90.00, 90.00 and 90.00 degrees. Symmetry generates all atoms from Mg at (0.033, 0.113, 0.098), Mg at (0.162, 0.250, 0.638), Ga at (0.174, 0.037, 0.601), Ga at (0.178, 0.750, 0.647) and Ir at (0.118, 0.613, 0.388).

For the magnetic moment, the calculation gives 0.0 μB per formula unit. As for the formation enthalpy at 0 K: -0.430 eV/atom. The volume comes out at 18.3 A^3/atom.



Entry 11:
Material: Ti3BeFe
Method: DFT, GGA-PBE
State: optimized geometry

The space group is Pm-3m (No. 221) and the conventional cell measures 4.435, 4.435 and 4.435 Å, with angles of 90.00, 90.00 and 90.00 degrees. Symmetry generates all atoms from Ti at (0.000, 0.000, 0.500), Be at (0.500, 0.500, 0.500) and Fe at (0.000, 0.000, 0.000).

For the magnetic moment, the calculation gives 0.0 μB per formula unit. As for the formation enthalpy at 0 K: 0.544 eV/atom. The volume comes out at 17.4 A^3/atom.



Entry 12:
Material: CsOsSe2Br
Method: DFT, GGA-PBE
State: optimized geometry

The space group is P4/mmm (No. 123) and the conventional cell measures 4.910, 4.910 and 5.799 Å, with angles of 90.00, 90.00 and 90.00 degrees. Symmetry generates all atoms from Cs at (0.000, 0.000, 0.000), Os at (0.500, 0.500, 0.500), Se at (0.000, 0.500, 0.500) and Br at (0.500, 0.500, 0.000).

For the magnetic moment, the calculation gives 0.0 μB per formula unit. The volume comes out at 28.0 A^3/atom. Its uncorrected formation energy is -0.1701 eV per atom.



Entry 13:
Material: InCuTe2O8
Method: DFT, GGA-PBE
State: optimized geometry

The space group is I-4m2 (No. 119) and the conventional cell measures 7.005, 7.005 and 6.762 Å, with angles of 90.00, 90.00 and 90.00 degrees. Symmetry generates all atoms from In at (0.000, 0.000, 0.000), Cu at (0.000, 0.500, 0.250), Te at (0.000, 0.000, 0.500), Te at (0.000, 0.500, 0.750), O at (0.000, 0.198, 0.309) and O at (0.000, 0.304, 0.933).

For the magnetic moment, the calculation gives 0.3 μB per formula unit. The volume comes out at 13.8 A^3/atom. Its uncorrected formation energy is -0.7313 eV per atom.



Entry 14:
Material: TbCeEr2Bi4
Method: DFT, GGA-PBE
State: optimized geometry

The space group is P2/m (No. 10) and the conventional cell measures 7.783, 4.504 and 7.792 Å, with angles of 90.00, 109.48 and 90.00 degrees. Symmetry generates all atoms from Tb at (0.000, 0.000, 0.000), Ce at (0.000, 0.500, 0.500), Er at (0.500, 0.000, 0.500), Er at (0.500, 0.500, 0.000), Bi at (0.255, 0.500, 0.249) and Bi at (0.257, 0.000, 0.755).

For the magnetic moment, the calculation gives 0.8 μB per formula unit. As for the formation enthalpy at 0 K: -0.822 eV/atom. The volume comes out at 32.2 A^3/atom.



Entry 15:
Material: CaSnO3
Method: DFT, GGA-PBE
State: optimized geometry

The space group is Pnma (No. 62) and the conventional cell measures 5.753, 8.003 and 5.582 Å, with angles of 90.00, 90.00 and 90.00 degrees. Symmetry generates all atoms from Ca at (0.053, 0.250, 0.015), Sn at (0.000, 0.000, 0.500), O at (0.042, 0.750, 0.394) and O at (0.201, 0.556, 0.803).

For the magnetic moment, the calculation gives 0.0 μB per formula unit. The volume comes out at 12.9 A^3/atom. Its uncorrected formation energy is -2.2474 eV per atom.



Entry 16:
Material: Pm5Ge2Ru
Method: DFT, GGA-PBE
State: optimized geometry

The space group is R-3m (No. 166, hexagonal axes) and the conventional cell measures 5.1409, 5.1409 and 26.2434 Å, with angles of 90.00, 90.00 and 120.00 degrees. Symmetry generates all atoms from Pm at (0.0000, 0.0000, 0.0000), Pm at (0.0000, 0.0000, 0.1298), Pm at (0.0000, 0.0000, 0.2723), Ge at (0.0000, 0.0000, 0.3975) and Ru at (0.0000, 0.0000, 0.5000).

For the magnetic moment, the calculation gives 0.7 μB per formula unit. As for the formation enthalpy at 0 K: -0.401 eV/atom. The volume comes out at 25.0 A^3/atom.



Entry 17:
Material: AlAgC
Method: DFT, GGA-PBE
State: optimized geometry

The space group is P-1 (No. 2) and the conventional cell measures 3.401, 4.529 and 6.346 Å, with angles of 94.90, 105.29 and 111.97 degrees. Symmetry generates all atoms from Al at (0.090, 0.334, 0.344), Ag at (0.211, 0.816, 0.106) and C at (0.426, 0.830, 0.520).

For the magnetic moment, the calculation gives 0.0 μB per formula unit. As for the formation enthalpy at 0 K: 0.369 eV/atom. The volume comes out at 14.3 A^3/atom.



Entry 18:
Material: Ce3NdPu2P6
Method: DFT, GGA-PBE
State: optimized geometry

The space group is C2/m (No. 12) and the conventional cell measures 7.058, 12.225 and 7.043 Å, with angles of 90.00, 109.54 and 90.00 degrees. Symmetry generates all atoms from Ce at (0.000, 0.000, 0.000), Ce at (0.000, 0.335, 0.000), Nd at (0.000, 0.500, 0.500), Pu at (0.000, 0.167, 0.500), P at (0.241, 0.000, 0.747) and P at (0.246, 0.171, 0.251).

For the magnetic moment, the calculation gives 11.9 μB per formula unit. As for the formation enthalpy at 0 K: -1.390 eV/atom. The volume comes out at 23.9 A^3/atom.



Entry 19:
Material: KAlTeI2
Method: DFT, GGA-PBE
State: optimized geometry

The space group is P4/mmm (No. 123) and the conventional cell measures 6.533, 6.533 and 6.359 Å, with angles of 90.00, 90.00 and 90.00 degrees. Symmetry generates all atoms from K at (0.000, 0.000, 0.000), Al at (0.500, 0.500, 0.500), Te at (0.000, 0.000, 0.500) and I at (0.000, 0.500, 0.000).

For the magnetic moment, the calculation gives 2.0 μB per formula unit. The volume comes out at 54.3 A^3/atom. Its uncorrected formation energy is 0.2414 eV per atom.



Entry 20:
Material: SmThCu2
Method: DFT, GGA-PBE
State: optimized geometry

The space group is Fm-3m (No. 225) and the conventional cell measures 7.127, 7.127 and 7.127 Å, with angles of 90.00, 90.00 and 90.00 degrees. Symmetry generates all atoms from Sm at (0.000, 0.000, 0.000), Th at (0.000, 0.000, 0.500) and Cu at (0.250, 0.250, 0.250).

For the magnetic moment, the calculation gives 0.4 μB per formula unit. As for the formation enthalpy at 0 K: -0.094 eV/atom. The volume comes out at 22.6 A^3/atom.



Entry 21:
Material: TlCd2Cl
Method: DFT, GGA-PBE
State: optimized geometry

The space group is P4mm (No. 99) and the conventional cell measures 3.814, 3.814 and 7.390 Å, with angles of 90.00, 90.00 and 90.00 degrees. Symmetry generates all atoms from Tl at (0.000, 0.000, 0.000), Cd at (0.000, 0.000, 0.473), Cd at (0.500, 0.500, 0.259) and Cl at (0.500, 0.500, 0.699).

For the magnetic moment, the calculation gives 0.0 μB per formula unit. The volume comes out at 26.9 A^3/atom. Its uncorrected formation energy is -0.2763 eV per atom.



Entry 22:
Material: ZnIr2Rh
Method: DFT, GGA-PBE
State: optimized geometry

The space group is C2/m (No. 12) and the conventional cell measures 9.024, 2.749 and 4.682 Å, with angles of 90.00, 100.01 and 90.00 degrees. Symmetry generates all atoms from Zn at (0.000, 0.000, 0.000), Ir at (0.247, 0.000, 0.749) and Rh at (0.000, 0.500, 0.500).

For the magnetic moment, the calculation gives 0.0 μB per formula unit. As for the formation enthalpy at 0 K: -0.111 eV/atom. The volume comes out at 14.3 A^3/atom.



Entry 23:
Material: LiAl2
Method: DFT, GGA-PBE
State: optimized geometry

The space group is Fm-3m (No. 225) and the conventional cell measures 5.973, 5.973 and 5.973 Å, with angles of 90.00, 90.00 and 90.00 degrees. Symmetry generates all atoms from Li at (0.000, 0.000, 0.000) and Al at (0.250, 0.250, 0.250).

For the magnetic moment, the calculation gives 0.0 μB per formula unit. As for the formation enthalpy at 0 K: 0.201 eV/atom. The volume comes out at 17.8 A^3/atom.